DFT (PBE with a Hubbard U) results for a relaxed structure of MoIrNO2.

Properties
crystal system	tetragonal
E	-6.49	eV per atom

a b c (Å): 4.128 4.128 3.704
angles (deg): 90.00 90.00 90.00
Atoms (fractional coordinates):
Mo (0.500, 0.500, 0.500)
Ir (0.000, 0.000, 0.000)
O (0.000, 0.500, 0.000)
O (0.500, 0.000, 0.000)
N (0.000, 0.000, 0.500)